1.
Compound: YNb2Al6
Source: Alexandria via LeMat-Bulk
Functional: PBE
Structure: relaxed

The structure in POSCAR format:
```
YNb2Al6
1.0
-0.5265 3.1782 2.1862
-1.6865 -2.6387 6.8965
4.8773 -0.7591 5.7449
Al Nb Y
6 2 1
direct
0.3137 0.3872 0.9854
0.5000 0.3192 0.6808
0.3137 0.9854 0.3872
0.6863 0.6128 0.0146
0.6863 0.0146 0.6128
0.5000 0.6808 0.3192
0.8817 0.6183 0.6183
0.1183 0.3817 0.3817
0.0000 0.0000 0.0000
```

**Total moment**: 0.000 μB per cell
**Final energy**: -5.661 eV/atom
**V**: 173.85 Å³ per cell
**Crystal system**: orthorhombic



2.
Compound: NaGdCdHg
Source: Alexandria via LeMat-Bulk
Functional: PBE
Structure: relaxed

The structure in POSCAR format:
```
NaGdCdHg
1.0
5.2391 0.0000 0.0000
2.6196 4.5372 0.0000
2.6196 1.5124 4.2777
Hg Na Gd Cd
1 1 1 1
direct
0.2500 0.2500 0.2500
0.0000 0.0000 0.0000
0.5000 0.5000 0.5000
0.7500 0.7500 0.7500
```

**Total moment**: 7.325 μB per cell
**Final energy**: -4.405 eV/atom
**V**: 101.69 Å³ per cell
**Crystal system**: cubic



3.
Compound: Ta2TlPb
Source: Alexandria via LeMat-Bulk
Functional: PBE
Structure: relaxed

The structure in POSCAR format:
```
Ta2TlPb
1.0
5.4917 -0.0019 0.0000
-2.0838 5.0810 0.0000
0.0000 0.0000 3.0531
Ta Tl Pb
2 1 1
direct
0.0000 0.0000 0.0000
0.5000 0.5000 0.0000
0.5000 0.0000 0.5000
0.0000 0.5000 0.5000
```

**Total moment**: 0.000 μB per cell
**Final energy**: -6.677 eV/atom
**V**: 85.18 Å³ per cell
**Crystal system**: orthorhombic



4.
Compound: La3SnI3
Source: Alexandria via LeMat-Bulk
Functional: PBE
Structure: relaxed

The structure in POSCAR format:
```
La3SnI3
1.0
6.4914 0.0000 0.0000
0.0000 6.4914 0.0000
0.0000 0.0000 6.4914
La Sn I
3 1 3
direct
0.5000 0.5000 0.0000
0.0000 0.5000 0.5000
0.5000 0.0000 0.5000
0.5000 0.5000 0.5000
0.0000 0.0000 0.5000
0.0000 0.5000 0.0000
0.5000 0.0000 0.0000
```

**Total moment**: 0.000 μB per cell
**Final energy**: -4.516 eV/atom
**V**: 273.54 Å³ per cell
**Formation energy (no corrections)**: -1.168 eV/atom
**Crystal system**: cubic



5.
Compound: CdMo2As
Source: Alexandria via LeMat-Bulk
Functional: PBE
Structure: relaxed

The structure in POSCAR format:
```
CdMo2As
1.0
-2.0013 -1.5992 -1.9355
-0.6561 -2.0561 2.3772
-5.2824 4.0919 2.0810
Mo As Cd
2 1 1
direct
0.5000 0.5000 0.2484
0.0000 0.0000 0.0403
0.0000 0.0000 0.4461
0.5000 0.5000 0.7652
```

**Total moment**: 0.000 μB per cell
**Final energy**: -6.661 eV/atom
**V**: 72.15 Å³ per cell
**Crystal system**: tetragonal



6.
Compound: Te2HPdN
Source: Alexandria via LeMat-Bulk
Functional: PBE
Structure: relaxed

The structure in POSCAR format:
```
Te2HPdN
1.0
5.1788 0.0000 0.0000
0.0000 5.1788 0.0000
0.0000 0.0000 2.8907
N Te Pd H
1 2 1 1
direct
0.0000 0.0000 0.5000
0.0000 0.5000 0.0000
0.5000 0.0000 0.0000
0.5000 0.5000 0.5000
0.0000 0.0000 0.0000
```

**Total moment**: 0.000 μB per cell
**Final energy**: -3.820 eV/atom
**V**: 77.53 Å³ per cell
**Crystal system**: tetragonal



7.
Compound: PrUSb2
Source: Alexandria via LeMat-Bulk
Functional: PBE
Structure: relaxed

The structure in POSCAR format:
```
PrUSb2
1.0
5.4141 0.0000 0.0000
2.7071 4.6888 0.0000
2.7071 1.5629 4.4173
Sb U Pr
2 1 1
direct
0.7499 0.7499 0.7502
0.2501 0.2501 0.2498
0.5000 0.5000 0.5000
0.0000 0.0000 0.0000
```

**Total moment**: 3.001 μB per cell
**Final energy**: -6.554 eV/atom
**V**: 112.14 Å³ per cell
**Formation energy (no corrections)**: -0.476 eV/atom
**Crystal system**: cubic



8.
Compound: SrCd2Tc
Source: Alexandria via LeMat-Bulk
Functional: PBE
Structure: relaxed

The structure in POSCAR format:
```
SrCd2Tc
1.0
-3.0972 -3.0957 2.6292
-2.5044 1.7634 4.0874
-5.0586 0.6772 -0.2004
Cd Tc Sr
2 1 1
direct
0.7500 0.7500 0.7500
0.2500 0.2500 0.2500
0.5000 0.5000 0.5000
0.0000 0.0000 0.0000
```

**Total moment**: 1.552 μB per cell
**Final energy**: -3.015 eV/atom
**V**: 94.22 Å³ per cell
**Crystal system**: cubic



9.
Compound: CuSn2Au2S6
Source: Alexandria via LeMat-Bulk
Functional: PBE
Structure: relaxed

The structure in POSCAR format:
```
CuSn2Au2S6
1.0
-2.2945 -2.3643 -5.4713
-2.2265 -2.4644 5.4552
-2.4877 6.6510 0.0764
S Au Sn Cu
6 2 2 1
direct
0.8175 0.8175 0.7237
0.5475 0.8805 0.2625
0.4525 0.1195 0.7375
0.8805 0.5475 0.2625
0.1195 0.4525 0.7375
0.1825 0.1825 0.2763
0.1699 0.8301 0.0000
0.8301 0.1699 0.0000
0.3267 0.6733 0.5000
0.6733 0.3267 0.5000
0.0000 0.0000 0.5000
```

**Total moment**: 0.000 μB per cell
**Final energy**: -4.088 eV/atom
**V**: 229.93 Å³ per cell
**Formation energy (no corrections)**: -0.141 eV/atom
**Crystal system**: monoclinic



10.
Compound: Li3AlCu
Source: Alexandria via LeMat-Bulk
Functional: PBE
Structure: relaxed

The structure in POSCAR format:
```
Li3AlCu
1.0
-2.4910 0.1228 3.7992
-3.6520 -1.3375 -2.3512
1.0546 -4.3417 0.8318
Li Al Cu
3 1 1
direct
0.0000 0.5000 0.0000
0.5000 0.0000 0.0000
0.0000 0.0000 0.5000
0.5000 0.5000 0.5000
0.0000 0.0000 0.0000
```

**Total moment**: 0.000 μB per cell
**Final energy**: -2.427 eV/atom
**V**: 93.87 Å³ per cell
**Crystal system**: cubic



11.
Compound: Tb3ScTl5
Source: Alexandria via LeMat-Bulk
Functional: PBE
Structure: relaxed

The structure in POSCAR format:
```
Tb3ScTl5
1.0
-2.9605 1.6500 -5.5351
-8.2056 -2.1716 3.7416
3.3227 8.6242 0.7936
Sc Tl Tb
2 10 6
direct
0.5000 0.0000 0.0000
0.0000 0.0000 0.0000
0.7500 0.0000 0.7127
0.5000 0.6667 0.3333
0.7500 0.7127 0.0000
0.2500 0.7127 0.7127
0.5000 0.3333 0.6667
0.2500 0.2873 0.0000
0.2500 0.0000 0.2873
0.0000 0.3333 0.6667
0.0000 0.6667 0.3333
0.7500 0.2873 0.2873
0.2500 0.3720 0.3720
0.7500 0.3720 0.0000
0.7500 0.6280 0.6280
0.2500 0.0000 0.6280
0.2500 0.6280 0.0000
0.7500 0.0000 0.3720
```

**Total moment**: 0.000 μB per cell
**Final energy**: -3.866 eV/atom
**V**: 483.66 Å³ per cell
**Crystal system**: hexagonal



12.
Compound: NbP2PtO
Source: Alexandria via LeMat-Bulk
Functional: PBE
Structure: relaxed

The structure in POSCAR format:
```
NbP2PtO
1.0
4.9174 0.0000 0.0000
0.0000 4.9174 0.0000
0.0000 0.0000 3.7948
P Pt O Nb
2 1 1 1
direct
0.5000 0.0000 0.0000
0.0000 0.5000 0.0000
0.5000 0.5000 0.5000
0.0000 0.0000 0.5000
0.0000 0.0000 0.0000
```

**Total moment**: 0.000 μB per cell
**Final energy**: -6.420 eV/atom
**V**: 91.76 Å³ per cell
**Formation energy (no corrections)**: -0.043 eV/atom
**Crystal system**: tetragonal



Please write out number 6 again, unchanged.
Compound: Te2HPdN
Source: Alexandria via LeMat-Bulk
Functional: PBE
Structure: relaxed

The structure in POSCAR format:
```
Te2HPdN
1.0
5.1788 0.0000 0.0000
0.0000 5.1788 0.0000
0.0000 0.0000 2.8907
N Te Pd H
1 2 1 1
direct
0.0000 0.0000 0.5000
0.0000 0.5000 0.0000
0.5000 0.0000 0.0000
0.5000 0.5000 0.5000
0.0000 0.0000 0.0000
```

**Total moment**: 0.000 μB per cell
**Final energy**: -3.820 eV/atom
**V**: 77.53 Å³ per cell
**Crystal system**: tetragonal



Which formula does entry 4 have?
La3SnI3



Please write out number 9 again, unchanged.
Compound: CuSn2Au2S6
Source: Alexandria via LeMat-Bulk
Functional: PBE
Structure: relaxed

The structure in POSCAR format:
```
CuSn2Au2S6
1.0
-2.2945 -2.3643 -5.4713
-2.2265 -2.4644 5.4552
-2.4877 6.6510 0.0764
S Au Sn Cu
6 2 2 1
direct
0.8175 0.8175 0.7237
0.5475 0.8805 0.2625
0.4525 0.1195 0.7375
0.8805 0.5475 0.2625
0.1195 0.4525 0.7375
0.1825 0.1825 0.2763
0.1699 0.8301 0.0000
0.8301 0.1699 0.0000
0.3267 0.6733 0.5000
0.6733 0.3267 0.5000
0.0000 0.0000 0.5000
```

**Total moment**: 0.000 μB per cell
**Final energy**: -4.088 eV/atom
**V**: 229.93 Å³ per cell
**Formation energy (no corrections)**: -0.141 eV/atom
**Crystal system**: monoclinic